[1]
LiTa2Cu PBE optimized geometry; DOS(E_F) = 4.323 states/eV/cell; VASP energy = -7.0725 eV/atom; formation energy = 0.36 eV/atom; volume = 61.3 Å³/cell
1.0
4.867 0.007 0.000
1.713 4.556 0.000
-3.290 -2.281 2.768
Cu Li Ta
1 1 2
direct
0.250 0.750 0.500
0.750 0.250 0.500
0.000 0.000 0.000
0.500 0.500 0.000

=====

[2]
LiTa2Cu PBE optimized geometry; DOS(E_F) = 3.718 states/eV/cell; VASP energy = -7.0596 eV/atom; formation energy = 0.37 eV/atom; volume = 61.6 Å³/cell
1.0
-3.415 3.283 -1.214
0.140 -3.702 -3.192
-1.862 -1.376 1.515
Cu Li Ta
1 1 2
direct
0.500 0.000 0.500
0.000 0.500 0.500
0.000 0.000 0.000
0.500 0.500 0.000

=====

[3]
LiTa2Cu PBE optimized geometry; DOS(E_F) = 1.657 states/eV/cell; VASP energy = -7.0075 eV/atom; formation energy = 0.42 eV/atom; volume = 60.4 Å³/cell
1.0
-1.719 2.534 0.747
-2.424 -1.158 -1.649
-2.029 -2.845 4.979
Cu Li Ta
1 1 2
direct
0.500 0.500 0.250
0.500 0.500 0.750
0.000 0.000 0.998
0.000 0.000 0.502

=====

[4]
LiTa2Cu PBE optimized geometry; DOS(E_F) = 2.938 states/eV/cell; VASP energy = -7.1023 eV/atom; formation energy = 0.33 eV/atom; volume = 64.1 Å³/cell
1.0
-3.054 4.122 0.415
-2.511 -4.642 -1.347
-1.200 -0.531 2.326
Cu Li Ta
1 1 2
direct
0.000 0.500 0.500
0.500 0.500 0.000
0.000 0.000 0.000
0.500 0.000 0.500

=====

[5]
Li2TaCu PBE optimized geometry; DOS(E_F) = 0.791 states/eV/cell; VASP energy = -4.3121 eV/atom; formation energy = 0.63 eV/atom; volume = 53.7 Å³/cell
1.0
3.821 -0.977 1.539
2.592 3.070 1.336
0.795 0.450 4.134
Li Cu Ta
2 1 1
direct
0.250 0.250 0.250
0.750 0.750 0.750
0.000 0.000 0.000
0.500 0.500 0.500

=====

[6]
Li2TaCu PBE optimized geometry; DOS(E_F) = 2.455 states/eV/cell; VASP energy = -4.6410 eV/atom; formation energy = 0.30 eV/atom; volume = 61.8 Å³/cell
1.0
-1.617 1.545 -1.425
0.735 -2.723 -3.787
-3.835 -2.826 1.288
Cu Li Ta
1 2 1
direct
0.000 0.500 0.500
0.000 0.000 0.000
0.500 0.500 0.000
0.500 0.000 0.500

=====

[7]
LiTa2Cu PBE optimized geometry; DOS(E_F) = 2.280 states/eV/cell; VASP energy = -7.1116 eV/atom; formation energy = 0.32 eV/atom; volume = 66.9 Å³/cell
1.0
-2.250 5.606 -7.983
-1.675 3.224 -9.328
-4.236 3.664 -8.297
Cu Li Ta
1 1 2
direct
0.250 0.250 0.250
0.750 0.750 0.750
0.994 0.994 0.994
0.506 0.506 0.506

=====

[8]
LiTaCu PBE optimized geometry; DOS(E_F) = 1.259 states/eV/cell; VASP energy = -5.6002 eV/atom; formation energy = 0.35 eV/atom; volume = 43.8 Å³/cell
1.0
-2.968 3.444 -1.241
-1.301 0.188 -4.526
0.053 -2.436 4.034
Cu Li Ta
1 1 1
direct
0.001 0.001 0.000
0.337 0.337 0.000
0.662 0.662 0.000

=====

- What is the formation energy in the first record?
  0.36 eV/atom